1.
# Si4Hg3 (meta-GGA SCAN, PBEsol geometry)
data_Si4Hg3
_chemical_formula_sum 'Si4 Hg3'
_symmetry_space_group_name_H-M 'P -4 3 m'
_symmetry_Int_Tables_number 215
_symmetry_space_group_name_Hall 'P -4 2 3'
_cell_length_a 5.293
_cell_length_b 5.293
_cell_length_c 5.293
_cell_angle_alpha 90.00
_cell_angle_beta 90.00
_cell_angle_gamma 90.00
loop_
_atom_site_label
_atom_site_type_symbol
_atom_site_fract_x
_atom_site_fract_y
_atom_site_fract_z
Si1 Si 0.165 0.165 0.835
Hg1 Hg 0.000 0.500 0.500
# - Energy: -241.2 eV for the cell shown
# - Formation energy from raw total energies: 327 kJ/mol of formula units

2.
# In2SiSb (meta-GGA SCAN, PBEsol geometry)
data_In2SiSb
_chemical_formula_sum 'In4 Si2 Sb2'
_symmetry_space_group_name_H-M 'I 4/m m m'
_symmetry_Int_Tables_number 139
_symmetry_space_group_name_Hall '-I 4 2'
_cell_length_a 4.287
_cell_length_b 4.287
_cell_length_c 10.182
_cell_angle_alpha 90.00
_cell_angle_beta 90.00
_cell_angle_gamma 90.00
loop_
_atom_site_label
_atom_site_type_symbol
_atom_site_fract_x
_atom_site_fract_y
_atom_site_fract_z
In1 In 0.000 0.500 0.250
Si1 Si 0.000 0.000 0.000
Sb1 Sb 0.000 0.000 0.500
# - Energy: -224.8 eV for the cell shown
# - Formation energy from raw total energies: 159 kJ/mol of formula units
# - Offset from the most stable computed form: 0.001 eV/atom

3.
# NaLiHO2 (meta-GGA SCAN, PBEsol geometry)
data_NaLiHO2
_chemical_formula_sum 'Na1 Li1 H1 O2'
_symmetry_space_group_name_H-M 'P 4/m m m'
_symmetry_Int_Tables_number 123
_symmetry_space_group_name_Hall '-P 4 2'
_cell_length_a 3.472
_cell_length_b 3.472
_cell_length_c 3.374
_cell_angle_alpha 90.00
_cell_angle_beta 90.00
_cell_angle_gamma 90.00
loop_
_atom_site_label
_atom_site_type_symbol
_atom_site_fract_x
_atom_site_fract_y
_atom_site_fract_z
Na1 Na 0.000 0.000 0.000
Li1 Li 0.500 0.500 0.000
H1 H 0.000 0.000 0.500
O1 O 0.000 0.500 0.500
# - Energy: -24.4 eV for the cell shown